Entry 1:
VASP calculation (GGA-PBE) on a relaxed structure of BaLi2Cu.

For the energy relative to the lowest polymorph listed for this composition, the calculation gives 0.95 eV/f.u. Its final energy is -2.2031 eV/atom.

The space group is Fm-3m (No. 225) and the conventional cell measures 7.473, 7.473 and 7.473 Å, with angles of 90.00, 90.00 and 90.00 degrees. Symmetry generates all atoms from Ba at (0.000, 0.000, 0.000), Li at (0.250, 0.250, 0.250) and Cu at (0.000, 0.000, 0.500).

Entry 2:
VASP calculation (GGA-PBE) on a relaxed structure of Ba2LiCu9.

Its final energy is -3.4430 eV/atom.

The space group is R-3m (No. 166, hexagonal axes) and the conventional cell measures 5.2814, 5.2814 and 26.3910 Å, with angles of 90.00, 90.00 and 120.00 degrees. Symmetry generates all atoms from Ba at (0.0000, 0.0000, 0.1355), Li at (0.0000, 0.0000, 0.0000), Cu at (0.0000, 0.0000, 0.3319), Cu at (0.0000, 0.0000, 0.5000) and Cu at (0.0056, 0.5028, 0.0737).

Entry 3:
VASP calculation (GGA-PBE) on a relaxed structure of Ba2Li5Cu.

Its final energy is -2.1196 eV/atom.

The space group is I4mm (No. 107) and the conventional cell measures 6.225, 6.225 and 12.811 Å, with angles of 90.00, 90.00 and 90.00 degrees. Symmetry generates all atoms from Ba at (0.000, 0.500, 0.000), Li at (0.000, 0.000, 0.371), Li at (0.232, 0.232, 0.738) and Cu at (0.000, 0.000, 0.593).

Entry 4:
VASP calculation (GGA-PBE) on a relaxed structure of BaLi2Cu.

For the energy relative to the lowest polymorph listed for this composition, the calculation gives 0.28 eV/f.u. Its final energy is -2.3693 eV/atom.

The space group is P4mm (No. 99) and the conventional cell measures 3.720, 3.720 and 7.410 Å, with angles of 90.00, 90.00 and 90.00 degrees. Symmetry generates all atoms from Ba at (0.000, 0.000, 0.000), Li at (0.000, 0.000, 0.435), Li at (0.500, 0.500, 0.621) and Cu at (0.500, 0.500, 0.277).

Entry 5:
VASP calculation (GGA-PBE) on a relaxed structure of BaLi2Cu.

For the energy relative to the lowest polymorph listed for this composition, the calculation gives 0.62 eV/f.u. Its final energy is -2.2863 eV/atom.

The space group is I-4m2 (No. 119) and the conventional cell measures 5.374, 5.374 and 7.639 Å, with angles of 90.00, 90.00 and 90.00 degrees. Symmetry generates all atoms from Ba at (0.000, 0.000, 0.000), Li at (0.000, 0.000, 0.500), Li at (0.000, 0.500, 0.250) and Cu at (0.000, 0.500, 0.750).

Entry 6:
VASP calculation (GGA-PBE) on a relaxed structure of BaLiCu2.

For the energy relative to the lowest polymorph listed for this composition, the calculation gives 0.23 eV/f.u. Its final energy is -2.9771 eV/atom.

The space group is Cmcm (No. 63) and the conventional cell measures 7.237, 11.852 and 4.502 Å, with angles of 90.00, 90.00 and 90.00 degrees. Symmetry generates all atoms from Ba at (0.000, 0.152, 0.250), Li at (0.000, 0.380, 0.750) and Cu at (0.176, 0.442, 0.250).

| no. | DFT formation energy (eV/atom) |
| --- | --- |
| 1 | 0.26 |
| 2 | 0.11 |
| 3 | 0.07 |
| 4 | 0.09 |
| 5 | 0.18 |
| 6 | 0.03 |